Entry 1:
Crystalline AlSn2O4 at its relaxed geometry, computed with PBE.

Cell lengths 6.1433, 6.1433, 17.6077 Å; angles 90.00, 90.00, 120.00 degrees
Space group R-3m (No. 166, hexagonal axes)
Asymmetric unit:
Al: 0.0000 0.0000 0.1373 [6 per cell]
Sn: 0.0000 0.0000 0.5000 [3 per cell]
Sn: 0.0000 0.5000 0.0000 [9 per cell]
O: 0.0000 0.0000 0.2374 [6 per cell]
O: 0.0075 0.5037 0.7669 [18 per cell]

Summary:
ΔE_f (raw)   -11.2 eV per formula unit
Distance to the lowest polymorph of the same formula   0.000 eV per atom

---

Entry 2:
Crystalline As2RuCl at its relaxed geometry, computed with PBE.

Cell lengths 6.0425, 6.0425, 11.5832 Å; angles 90.00, 90.00, 90.00 degrees
Space group I-42d (No. 122)
Asymmetric unit:
As: 0.1609 0.2500 0.1250 [8 per cell]
Ru: 0.0000 0.0000 0.0000 [4 per cell]
Cl: 0.0000 0.0000 0.5000 [4 per cell]

Summary:
ΔE_f (raw)   0.5 eV per formula unit
Distance to the lowest polymorph of the same formula   0.295 eV per atom

---

Entry 3:
Crystalline SrMg2AlPt at its relaxed geometry, computed with PBE.

Cell lengths 5.1030, 5.1030, 4.8581 Å; angles 90.00, 90.00, 90.00 degrees
Space group P4/mmm (No. 123)
Asymmetric unit:
Sr: 0.0000 0.0000 0.0000 [1 per cell]
Mg: 0.0000 0.5000 0.5000 [2 per cell]
Al: 0.5000 0.5000 0.0000 [1 per cell]
Pt: 0.5000 0.5000 0.5000 [1 per cell]

Summary:
Formation enthalpy at 0 K   -0.458 eV/atom

---

Entry 4:
Crystalline Dy3SnRh at its relaxed geometry, computed with PBE.

Cell lengths 5.6571, 6.6374, 7.2039 Å; angles 90.00, 103.60, 90.00 degrees
Space group P2_1/m (No. 11)
Asymmetric unit:
Dy: 0.1402 0.2500 0.1146 [2 per cell]
Dy: 0.3173 0.0105 0.6937 [4 per cell]
Sn: 0.1819 0.7500 0.3138 [2 per cell]
Rh: 0.3873 0.7500 0.9928 [2 per cell]

Summary:
Formation enthalpy at 0 K   -0.655 eV/atom

---

no.,magnetization (μB/atom),density of states at the Fermi level (states/eV/f.u.)
1,0.000,0.86
2,0.000,1.81
3,0.100,3.19
4,0.000,3.50